Record 1
The following is a PBE calculation of a geometry-optimized KRbSc2 structure, from Alexandria via LeMat-Bulk.

Unit cell a=6.186 b=6.186 c=6.186 alpha=60.00 beta=60.00 gamma=60.00
Element x y z (fractional)
K: 0.000 0.000 0.000
Sc: 0.750 0.750 0.750
Sc: 0.250 0.250 0.250
Rb: 0.500 0.500 0.500

Calculated values
- total magnetization (μB per formula unit) = 2.5
- symmetry = Fm-3m
- energy of formation from the pure elements (eV/atom) = 1.04
- total DFT energy (no corrections) (eV per atom) = -2.65
- ΔE to the lowest computed polymorph (kJ per mole of atoms) = 28.3

Record 2
The following is a PBE calculation of a geometry-optimized KRb3Sc structure, from Alexandria via LeMat-Bulk.

Unit cell a=7.535 b=7.535 c=7.535 alpha=90.00 beta=90.00 gamma=90.00
Element x y z (fractional)
K: 0.500 0.500 0.500
Rb: 0.500 0.000 0.000
Rb: 0.000 0.500 0.000
Rb: 0.000 0.000 0.500
Sc: 0.000 0.000 0.000

Calculated values
- total magnetization (μB per formula unit) = 2.9
- symmetry = Pm-3m
- energy of formation from the pure elements (eV/atom) = 0.67
- total DFT energy (no corrections) (eV per atom) = -1.40
- ΔE to the lowest computed polymorph (kJ per mole of atoms) = 0.0